Record 1
A geometry-optimized Tb15Nd4Sm structure. Source: Alexandria via LeMat-Bulk, functional PBE.

DFT formation energy = 0.016 eV/atom

```
data_Tb15Nd4Sm
_chemical_formula_sum 'Tb15 Nd4 Sm1'
_space_group_name_H-M_alt 'P 1'
_space_group_IT_number 1
_cell_length_a 5.0786
_cell_length_b 5.0786
_cell_length_c 25.3089
_cell_angle_alpha 90.00
_cell_angle_beta 90.00
_cell_angle_gamma 90.00
loop_
_space_group_symop_operation_xyz
'x,y,z'
loop_
_atom_site_label
_atom_site_type_symbol
_atom_site_fract_x
_atom_site_fract_y
_atom_site_fract_z
Sm1 Sm 0.0000 0.0000 0.0000
Tb1 Tb 0.5000 0.5000 0.3999
Tb2 Tb 0.5000 0.5000 0.6001
Tb3 Tb 0.5000 0.0000 0.5000
Tb4 Tb 0.5000 0.5000 0.8004
Tb5 Tb 0.5000 0.0000 0.2998
Tb6 Tb 0.5000 0.5000 0.1996
Tb7 Tb 0.5000 0.0000 0.0995
Tb8 Tb 0.0000 0.5000 0.7002
Tb9 Tb 0.5000 0.0000 0.9005
Tb10 Tb 0.0000 0.5000 0.2998
Tb11 Tb 0.5000 0.5000 0.0000
Tb12 Tb 0.0000 0.5000 0.9005
Tb13 Tb 0.0000 0.5000 0.5000
Tb14 Tb 0.0000 0.5000 0.0995
Tb15 Tb 0.5000 0.0000 0.7002
Nd1 Nd 0.0000 0.0000 0.1998
Nd2 Nd 0.0000 0.0000 0.6001
Nd3 Nd 0.0000 0.0000 0.3999
Nd4 Nd 0.0000 0.0000 0.8002
```

---

Record 2
A geometry-optimized BeZnRu2 structure. Source: Alexandria via LeMat-Bulk, functional PBE.

DFT formation energy = 0.069 eV/atom

```
data_BeZnRu2
_chemical_formula_sum 'Be1 Zn1 Ru2'
_space_group_name_H-M_alt 'P 1'
_space_group_IT_number 1
_cell_length_a 4.4003
_cell_length_b 4.4003
_cell_length_c 4.4003
_cell_angle_alpha 128.10
_cell_angle_beta 128.10
_cell_angle_gamma 76.47
loop_
_space_group_symop_operation_xyz
'x,y,z'
loop_
_atom_site_label
_atom_site_type_symbol
_atom_site_fract_x
_atom_site_fract_y
_atom_site_fract_z
Be1 Be 0.7500 0.2500 0.5000
Ru1 Ru 0.0000 0.0000 0.0000
Ru2 Ru 0.2500 0.7500 0.5000
Zn1 Zn 0.5000 0.5000 0.0000
```

---

Record 3
A geometry-optimized AsH2IrSe structure. Source: Alexandria via LeMat-Bulk, functional PBE.

Total DFT energy (no corrections) = -4.451 eV/atom

```
data_AsH2IrSe
_chemical_formula_sum 'As1 H2 Ir1 Se1'
_space_group_name_H-M_alt 'P 1'
_space_group_IT_number 1
_cell_length_a 3.5688
_cell_length_b 5.1835
_cell_length_c 3.5688
_cell_angle_alpha 90.00
_cell_angle_beta 90.00
_cell_angle_gamma 90.00
loop_
_space_group_symop_operation_xyz
'x,y,z'
loop_
_atom_site_label
_atom_site_type_symbol
_atom_site_fract_x
_atom_site_fract_y
_atom_site_fract_z
Ir1 Ir 0.0000 0.5000 0.0000
H1 H 0.5000 0.0000 0.0000
H2 H 0.0000 0.0000 0.5000
As1 As 0.0000 0.0000 0.0000
Se1 Se 0.5000 0.5000 0.5000
```

---

Record 4
A geometry-optimized CeDyErSn structure. Source: Alexandria via LeMat-Bulk, functional PBE.

DFT formation energy = -0.181 eV/atom

```
data_CeDyErSn
_chemical_formula_sum 'Ce1 Dy1 Er1 Sn1'
_space_group_name_H-M_alt 'P 1'
_space_group_IT_number 1
_cell_length_a 5.3576
_cell_length_b 5.3576
_cell_length_c 5.3576
_cell_angle_alpha 60.00
_cell_angle_beta 60.00
_cell_angle_gamma 60.00
loop_
_space_group_symop_operation_xyz
'x,y,z'
loop_
_atom_site_label
_atom_site_type_symbol
_atom_site_fract_x
_atom_site_fract_y
_atom_site_fract_z
Sn1 Sn 0.2500 0.2500 0.2500
Er1 Er 0.5000 0.5000 0.5000
Dy1 Dy 0.0000 0.0000 0.0000
Ce1 Ce 0.7500 0.7500 0.7500
```

---

Record 5
A geometry-optimized BeOs2F2 structure. Source: Alexandria via LeMat-Bulk, functional PBE.

Uncorrected formation energy = -161 meV/atom
E above lowest polymorph = 0.000 kcal/mol of atoms

```
data_BeOs2F2
_chemical_formula_sum 'Be1 Os2 F2'
_space_group_name_H-M_alt 'P 1'
_space_group_IT_number 1
_cell_length_a 3.1495
_cell_length_b 3.1495
_cell_length_c 6.1696
_cell_angle_alpha 75.21
_cell_angle_beta 75.21
_cell_angle_gamma 90.00
loop_
_space_group_symop_operation_xyz
'x,y,z'
loop_
_atom_site_label
_atom_site_type_symbol
_atom_site_fract_x
_atom_site_fract_y
_atom_site_fract_z
F1 F 0.7500 0.2500 0.5000
F2 F 0.2500 0.7500 0.5000
Os1 Os 0.5993 0.5993 0.8015
Os2 Os 0.4007 0.4007 0.1985
Be1 Be 0.0000 0.0000 0.0000
```

---

Record 6
A geometry-optimized Mg2TcAg structure. Source: Alexandria via LeMat-Bulk, functional PBE.

DFT formation energy = 0.086 eV/atom
E above lowest polymorph = 0.000 kcal/mol of atoms

```
data_Mg2TcAg
_chemical_formula_sum 'Mg2 Tc1 Ag1'
_space_group_name_H-M_alt 'P 1'
_space_group_IT_number 1
_cell_length_a 2.8083
_cell_length_b 2.8083
_cell_length_c 8.8859
_cell_angle_alpha 90.00
_cell_angle_beta 90.00
_cell_angle_gamma 102.90
loop_
_space_group_symop_operation_xyz
'x,y,z'
loop_
_atom_site_label
_atom_site_type_symbol
_atom_site_fract_x
_atom_site_fract_y
_atom_site_fract_z
Mg1 Mg 0.0000 0.0000 0.4927
Mg2 Mg 0.0000 0.0000 0.0073
Ag1 Ag 0.5000 0.5000 0.7500
Tc1 Tc 0.5000 0.5000 0.2500
```

---

Record 7
A geometry-optimized PrNiSnRh structure. Source: Alexandria via LeMat-Bulk, functional PBE.

DFT formation energy = -0.447 eV/atom

```
data_PrNiSnRh
_chemical_formula_sum 'Pr1 Ni1 Sn1 Rh1'
_space_group_name_H-M_alt 'P 1'
_space_group_IT_number 1
_cell_length_a 4.7847
_cell_length_b 4.7847
_cell_length_c 4.7847
_cell_angle_alpha 60.00
_cell_angle_beta 60.00
_cell_angle_gamma 60.00
loop_
_space_group_symop_operation_xyz
'x,y,z'
loop_
_atom_site_label
_atom_site_type_symbol
_atom_site_fract_x
_atom_site_fract_y
_atom_site_fract_z
Sn1 Sn 0.5000 0.5000 0.5000
Rh1 Rh 0.7500 0.7500 0.7500
Pr1 Pr 0.0000 0.0000 0.0000
Ni1 Ni 0.2500 0.2500 0.2500
```

---

Record 8
A geometry-optimized HfTiBe2 structure. Source: Alexandria via LeMat-Bulk, functional PBE.

DFT formation energy = 0.423 eV/atom
E above lowest polymorph = 12.343 kcal/mol of atoms

```
data_HfTiBe2
_chemical_formula_sum 'Hf2 Ti2 Be4'
_space_group_name_H-M_alt 'P 1'
_space_group_IT_number 1
_cell_length_a 6.8730
_cell_length_b 6.8730
_cell_length_c 5.4582
_cell_angle_alpha 50.98
_cell_angle_beta 50.98
_cell_angle_gamma 90.00
loop_
_space_group_symop_operation_xyz
'x,y,z'
loop_
_atom_site_label
_atom_site_type_symbol
_atom_site_fract_x
_atom_site_fract_y
_atom_site_fract_z
Be1 Be 0.6103 0.1250 0.2500
Be2 Be 0.1397 0.6250 0.2500
Be3 Be 0.3750 0.3897 0.7500
Be4 Be 0.8750 0.8603 0.7500
Ti1 Ti 0.5000 0.5000 0.0000
Ti2 Ti 0.2500 0.7500 0.5000
Hf1 Hf 0.7500 0.2500 0.5000
Hf2 Hf 0.0000 0.0000 0.0000
```

---

Record-wise M_tot values, in μB per formula unit: 0.000, 0.000, 0.000, 1.033, 0.000, 0.000, 0.000, 0.000